# 1
MgTcMo after structural relaxation, computed with PBE-GGA.

Geometry as extended XYZ:
```
3
Lattice="0.000 3.035 3.035 3.035 0.000 3.035 3.035 3.035 0.000" Properties=species:S:1:pos:R:3 pbc="T T T"
Mg 0.000 0.000 0.000
Tc 4.552 4.552 4.552
Mo 3.035 3.035 3.035
```

Magnetic moment: 0.0 μB/f.u.
Energy relative to the elements: 2.02 eV/f.u.
Space-group type: F-43m, No. 216
Distance to the lowest polymorph of the same formula: 0.5730 eV per atom

***

# 2
EuDy2Mg after structural relaxation, computed with PBE-GGA.

Geometry as extended XYZ:
```
4
Lattice="1.795 1.037 11.402 -1.795 1.037 11.402 0.000 -2.073 11.402" Properties=species:S:1:pos:R:3 pbc="T T T"
Eu 0.000 0.000 0.000
Dy 0.000 0.000 8.322
Dy 0.000 0.000 25.884
Mg 0.000 0.000 17.103
```

Magnetic moment: 7.8 μB/f.u.
Energy relative to the elements: 0.28 eV/f.u.
Space-group type: R-3m, No. 166
Distance to the lowest polymorph of the same formula: 0.0494 eV per atom

***

# 3
CdRu2PbO8 after structural relaxation, computed with PBE-GGA.

Geometry as extended XYZ:
```
12
Lattice="2.630 1.518 7.670 -2.630 1.518 7.670 0.000 -3.037 7.670" Properties=species:S:1:pos:R:3 pbc="T T T"
Cd 0.000 0.000 0.000
Ru 0.000 0.000 5.750
Ru 0.000 0.000 17.261
Pb 0.000 0.000 11.505
O -0.887 -1.454 9.159
O 0.000 0.000 3.954
O -0.816 -1.495 13.852
O -0.816 1.495 9.159
O -0.887 1.454 13.852
O 1.702 -0.041 9.159
O 0.000 0.000 19.057
O 1.702 0.041 13.852
```

Energy relative to the elements, uncorrected: -0.744 eV/atom
Magnetic moment: 4.0 μB/f.u.
Space-group type: R32, No. 155

***

# 4
Li7MnN4 after structural relaxation, computed with PBE-GGA.

Geometry as extended XYZ:
```
96
Lattice="9.569 0.000 0.000 0.000 9.569 0.000 0.000 0.000 9.569" Properties=species:S:1:pos:R:3 pbc="T T T"
Li 0.000 0.000 2.513
Li 0.000 0.000 4.784
Li 0.000 0.000 7.056
Li 0.000 2.392 4.784
Li 0.000 2.513 0.000
Li 0.000 4.784 0.000
Li 0.000 4.784 4.784
Li 0.000 7.056 0.000
Li 0.000 7.177 4.784
Li 0.176 2.285 7.166
Li 0.176 7.284 2.403
Li 2.221 2.221 2.221
Li 2.221 7.348 7.348
Li 2.271 4.784 4.784
Li 2.285 2.403 9.393
Li 2.285 7.166 0.176
Li 2.381 2.499 4.609
Li 2.381 7.070 4.960
Li 2.392 4.784 0.000
Li 2.403 0.176 7.284
Li 2.403 9.393 2.285
Li 2.499 4.609 2.381
Li 2.499 4.960 7.188
Li 2.513 0.000 0.000
Li 2.564 2.564 7.005
Li 2.564 7.005 2.564
Li 4.609 2.381 2.499
Li 4.609 7.188 7.070
Li 4.784 0.000 0.000
Li 4.784 0.000 2.392
Li 4.784 0.000 4.784
Li 4.784 0.000 7.177
Li 4.784 2.271 4.784
Li 4.784 4.784 0.000
Li 4.784 4.784 2.271
Li 4.784 4.784 7.298
Li 4.784 7.298 4.784
Li 4.960 2.381 7.070
Li 4.960 7.188 2.499
Li 7.005 2.564 2.564
Li 7.005 7.005 7.005
Li 7.056 0.000 0.000
Li 7.070 4.609 7.188
Li 7.070 4.960 2.381
Li 7.166 0.176 2.285
Li 7.166 9.393 7.284
Li 7.177 4.784 0.000
Li 7.188 2.499 4.960
Li 7.188 7.070 4.609
Li 7.284 2.403 0.176
Li 7.284 7.166 9.393
Li 7.298 4.784 4.784
Li 7.348 2.221 7.348
Li 7.348 7.348 2.221
Li 9.393 2.285 2.403
Li 9.393 7.284 7.166
Mn 0.000 0.000 0.000
Mn 0.000 4.784 2.392
Mn 0.000 4.784 7.177
Mn 2.392 0.000 4.784
Mn 4.784 2.392 0.000
Mn 4.784 4.784 4.784
Mn 4.784 7.177 0.000
Mn 7.177 0.000 4.784
N 1.023 3.665 3.412
N 1.023 5.904 6.157
N 1.047 1.047 1.047
N 1.047 8.522 8.522
N 1.119 3.762 8.196
N 1.119 5.807 1.373
N 1.373 1.119 5.807
N 1.373 8.450 3.762
N 3.412 1.023 3.665
N 3.412 8.546 5.904
N 3.665 3.412 1.023
N 3.665 6.157 8.546
N 3.737 3.737 5.832
N 3.737 5.832 3.737
N 3.762 1.373 8.450
N 3.762 8.196 1.119
N 5.807 1.373 1.119
N 5.807 8.196 8.450
N 5.832 3.737 3.737
N 5.832 5.832 5.832
N 5.904 3.412 8.546
N 5.904 6.157 1.023
N 6.157 1.023 5.904
N 6.157 8.546 3.665
N 8.196 1.119 3.762
N 8.196 8.450 5.807
N 8.450 3.762 1.373
N 8.450 5.807 8.196
N 8.522 1.047 8.522
N 8.522 8.522 1.047
N 8.546 3.665 6.157
N 8.546 5.904 3.412
```

Energy relative to the elements, uncorrected: -0.554 eV/atom
Magnetic moment: 2.0 μB/f.u.
Space-group type: P-43n, No. 218

***

# 5
LaScSn2 after structural relaxation, computed with PBE-GGA.

Geometry as extended XYZ:
```
4
Lattice="3.917 0.000 0.000 0.000 3.917 0.000 0.000 0.000 6.969" Properties=species:S:1:pos:R:3 pbc="T T T"
La 0.000 0.000 0.000
Sc 0.000 0.000 3.485
Sn 1.958 1.958 2.009
Sn 1.958 1.958 4.960
```

Magnetic moment: 0.0 μB/f.u.
Energy relative to the elements: -2.50 eV/f.u.
Space-group type: P4/mmm, No. 123

***

# 6
NaSbBr3 after structural relaxation, computed with PBE-GGA.

Geometry as extended XYZ:
```
5
Lattice="5.317 0.000 0.000 0.000 5.317 0.000 0.000 0.000 5.317" Properties=species:S:1:pos:R:3 pbc="T T T"
Na 0.000 0.000 0.000
Sb 2.659 2.659 2.659
Br 0.000 0.000 2.659
Br 0.000 2.659 0.000
Br 2.659 0.000 0.000
```

Energy relative to the elements, uncorrected: -0.230 eV/atom
Magnetic moment: 1.0 μB/f.u.
Space-group type: Pm-3m, No. 221
Distance to the lowest polymorph of the same formula: 0.6558 eV per atom